A geometry-optimized HgPRh4 structure. Source: Alexandria, functional PBE-GGA.

## Properties
- DFT formation energy (eV/atom) = 0.4701
- crystal system = cubic
- VASP energy (eV per atom) = -5.38

abc: 5.182 5.182 5.182
angles: 60.00 60.00 60.00
Positions (direct):
1 P 0.000 0.000 0.000
2 Rh 0.876 0.375 0.375
3 Rh 0.375 0.375 0.876
4 Rh 0.375 0.876 0.375
5 Rh 0.375 0.375 0.375
6 Hg 0.750 0.750 0.750

***

A geometry-optimized ZrGePd3 structure. Source: Alexandria, functional PBE-GGA.

## Properties
- DFT formation energy (eV/atom) = -0.1561
- crystal system = tetragonal
- E above lowest polymorph (meV per atom) = 0.0
- VASP energy (eV per atom) = -5.90

abc: 5.018 5.018 9.012
angles: 106.17 106.17 90.00
Positions (direct):
1 Ge 0.000 0.000 0.000
2 Ge 0.250 0.750 0.500
3 Zr 0.591 0.091 0.182
4 Zr 0.909 0.409 0.818
5 Pd 0.623 0.877 0.753
6 Pd 0.123 0.869 0.247
7 Pd 0.123 0.377 0.247
8 Pd 0.685 0.685 0.369
9 Pd 0.131 0.877 0.753
10 Pd 0.315 0.315 0.631

***

A geometry-optimized HoMgZn10 structure. Source: Alexandria, functional PBE-GGA.

## Properties
- DFT formation energy (eV/atom) = -0.1469
- crystal system = orthorhombic
- VASP energy (eV per atom) = -1.72

abc: 4.263 5.206 9.120
angles: 90.00 90.00 90.00
Positions (direct):
1 Ho 0.000 0.000 0.000
2 Zn 0.500 0.243 0.758
3 Zn 0.500 0.500 0.000
4 Zn 0.500 0.000 0.500
5 Zn 0.000 0.000 0.343
6 Zn 0.000 0.000 0.657
7 Zn 0.000 0.500 0.181
8 Zn 0.500 0.757 0.242
9 Zn 0.500 0.243 0.242
10 Zn 0.500 0.757 0.758
11 Zn 0.000 0.500 0.819
12 Mg 0.000 0.500 0.500

***

- Which of these has the lowest VASP energy?
  ZrGePd3